La12V3O5 | GGA+U | optimized geometry

abc: 14.2164 14.2164 14.2164
angles: 109.47 109.47 109.47
Last column: nearest neighbours and their distance in Å.
Sites, in units of the cell vectors:
V: 0.7500 0.3750 0.1250  8 La 3.27-3.34
V: 0.8750 0.7500 0.1250  8 La 3.27-3.34
V: 0.3750 0.7500 0.6250  8 La 3.27-3.34
V: 0.2500 0.1250 0.3750  8 La 3.27-3.34
V: 0.8750 0.1250 0.2500  8 La 3.27-3.34
V: 0.3750 0.6250 0.2500  8 La 3.27-3.34
V: 0.6250 0.3750 0.7500  8 La 3.27-3.34
V: 0.1250 0.8750 0.7500  8 La 3.27-3.34
V: 0.7500 0.8750 0.6250  8 La 3.27-3.34
V: 0.6250 0.2500 0.3750  8 La 3.27-3.34
V: 0.1250 0.2500 0.8750  8 La 3.27-3.34
V: 0.2500 0.6250 0.8750  8 La 3.27-3.34
O: 0.1250 0.3750 0.2500  4 La 2.35
O: 0.0000 0.5000 0.0000  6 La 2.65
O: 0.0000 0.0000 0.0000  6 La 2.65
O: 0.3750 0.2500 0.1250  4 La 2.35
O: 0.5000 0.0000 0.5000  6 La 2.65
O: 0.5000 0.5000 0.0000  6 La 2.65
O: 0.1250 0.7500 0.3750  4 La 2.35
O: 0.7500 0.1250 0.8750  4 La 2.35
O: 0.7500 0.6250 0.3750  4 La 2.35
O: 0.3750 0.1250 0.7500  4 La 2.35
O: 0.6250 0.8750 0.2500  4 La 2.35
O: 0.5000 0.5000 0.5000  6 La 2.65
O: 0.5000 0.0000 0.0000  6 La 2.65
O: 0.0000 0.0000 0.5000  6 La 2.65
O: 0.2500 0.3750 0.6250  4 La 2.35
O: 0.2500 0.8750 0.1250  4 La 2.35
O: 0.0000 0.5000 0.5000  6 La 2.65
O: 0.8750 0.2500 0.6250  4 La 2.35
O: 0.6250 0.7500 0.8750  4 La 2.35
O: 0.8750 0.6250 0.7500  4 La 2.35
La: 0.6997 0.1099 0.0131  1 O 2.35
La: 0.3134 0.5131 0.4032  1 O 2.35
La: 0.9869 0.3901 0.3003  1 O 2.35
La: 0.5131 0.1997 0.1099  1 O 2.35
La: 0.5898 0.6997 0.6866  1 O 2.35
La: 0.9869 0.5968 0.1866  1 O 2.35
La: 0.3134 0.8003 0.4102  1 O 2.35
La: 0.0968 0.9102 0.1099  1 O 2.35
La: 0.5968 0.9869 0.6866  1 O 2.35
La: 0.6997 0.5898 0.1866  1 O 2.35
La: 0.8003 0.4869 0.3901  1 O 2.35
La: 0.8134 0.9032 0.0131  1 O 2.35
La: 0.1099 0.6997 0.5131  1 O 2.35
La: 0.3901 0.4032 0.0898  1 O 2.35
La: 0.0898 0.9032 0.3901  1 O 2.35
La: 0.4102 0.1099 0.5968  1 O 2.35
La: 0.0898 0.1866 0.1997  1 O 2.35
La: 0.4869 0.6866 0.0968  1 O 2.35
La: 0.8134 0.9102 0.3003  1 O 2.35
La: 0.1099 0.4102 0.0968  1 O 2.35
La: 0.3901 0.9869 0.8003  1 O 2.35
La: 0.5968 0.6099 0.4102  1 O 2.35
La: 0.9032 0.8134 0.5131  1 O 2.35
La: 0.8003 0.3134 0.9102  1 O 2.35
La: 0.4032 0.3901 0.5898  1 O 2.35
La: 0.0968 0.1866 0.4869  1 O 2.35
La: 0.1997 0.6866 0.0898  1 O 2.35
La: 0.1866 0.0898 0.6997  1 O 2.35
La: 0.6099 0.0131 0.1997  1 O 2.35
La: 0.8901 0.5898 0.9032  1 O 2.35
La: 0.5131 0.3134 0.9032  1 O 2.35
La: 0.5898 0.8901 0.4032  1 O 2.35
La: 0.9102 0.8134 0.8003  1 O 2.35
La: 0.9102 0.0968 0.6099  1 O 2.35
La: 0.8901 0.3003 0.4869  1 O 2.35
La: 0.1866 0.0968 0.9869  1 O 2.35
La: 0.6099 0.5968 0.9102  1 O 2.35
La: 0.4032 0.0131 0.3134  1 O 2.35
La: 0.3003 0.4102 0.8134  1 O 2.35
La: 0.1997 0.5131 0.6099  1 O 2.35
La: 0.9032 0.0898 0.8901  1 O 2.35
La: 0.6866 0.1997 0.5898  1 O 2.35
La: 0.4869 0.8003 0.8901  1 O 2.35
La: 0.0131 0.4032 0.8134  1 O 2.35
La: 0.4102 0.3003 0.3134  1 O 2.35
La: 0.0131 0.6099 0.6997  1 O 2.35
La: 0.6866 0.4869 0.5968  1 O 2.35
La: 0.3003 0.8901 0.9869  1 O 2.35

Properties
As for the crystal system: cubic. The calculation puts the total energy at -6.43 eV per atom. The value obtained for the density of states at the Fermi level is 17.18 states/eV/f.u.